(1)
The following is a DFT calculation (PBE) of NaAgSn after structural relaxation.

Calculated values
E, eV per atom: -2.820
E_form, eV/atom: -0.10
M_tot, μB per cell: 0.000

Unit cell a=6.6461 b=6.2499 c=8.0651 alpha=90.00 beta=113.24 gamma=90.00
Atoms (fractional coordinates):
Ag 0.6110 0.4149 0.1918
Ag 0.3890 0.5851 0.8082
Ag 0.1110 0.0851 0.6918
Ag 0.8890 0.9149 0.3082
Sn 0.1620 0.3529 0.9761
Sn 0.8380 0.6471 0.0239
Sn 0.3380 0.8529 0.5239
Sn 0.6620 0.1471 0.4761
Na 0.3323 0.8667 0.1101
Na 0.8323 0.6333 0.6101
Na 0.6677 0.1333 0.8899
Na 0.1677 0.3667 0.3899

(2)
The following is a DFT calculation (PBE) of BaLiMg2Cd after structural relaxation.

Calculated values
E, eV per atom: -1.613
E_form, eV/atom: -0.03
E above lowest polymorph, meV per atom: 0
M_tot, μB per cell: 0.000

Unit cell a=5.2607 b=5.2607 c=5.2523 alpha=90.00 beta=90.00 gamma=90.00
Atoms (fractional coordinates):
Mg 0.0000 0.5000 0.0000
Mg 0.5000 0.0000 0.0000
Li 0.0000 0.0000 0.0000
Ba 0.5000 0.5000 0.5000
Cd 0.0000 0.0000 0.5000

(3)
The following is a DFT calculation (PBE) of RbNbTc3 after structural relaxation.

Calculated values
E, eV per atom: -6.631
E_form, eV/atom: 1.80
E above lowest polymorph, meV per atom: 0
M_tot, μB per cell: 5.284

Unit cell a=4.9518 b=4.9518 c=4.9518 alpha=90.00 beta=90.00 gamma=90.00
Last column: magnetic moment on the atom in μB.
Atoms (fractional coordinates):
Nb 0.0000 0.0000 0.0000  -0.37
Tc 0.0000 0.5000 0.0000  1.70
Tc 0.0000 0.0000 0.5000  1.60
Tc 0.5000 0.0000 0.0000  1.74
Rb 0.5000 0.5000 0.5000  0.03

(4)
The following is a DFT calculation (PBE) of K3AcDy2Se6 after structural relaxation.

Calculated values
E, eV per atom: -4.896
M_tot, μB per cell: 0.000
Raw formation energy, eV/f.u.: -21.24

Unit cell a=7.5142 b=7.5142 c=8.1102 alpha=98.91 beta=98.91 gamma=120.02
Atoms (fractional coordinates):
K 0.1645 0.8355 0.5000
K 0.8355 0.1645 0.5000
K 0.5000 0.5000 0.5000
Ac 0.0000 0.0000 0.0000
Dy 0.3330 0.6670 0.0000
Dy 0.6670 0.3330 0.0000
Se 0.9303 0.5782 0.7915
Se 0.7175 0.7175 0.2086
Se 0.0697 0.4218 0.2085
Se 0.5782 0.9303 0.7915
Se 0.2825 0.2825 0.7914
Se 0.4218 0.0697 0.2085

(5)
The following is a DFT calculation (PBE) of BaBrCl2 after structural relaxation.

Calculated values
E, eV per atom: -3.338
E above lowest polymorph, meV per atom: 188
M_tot, μB per cell: 0.992
Raw formation energy, eV/f.u.: -6.06

Unit cell a=5.7118 b=4.9852 c=4.9864 alpha=85.72 beta=90.00 gamma=90.00
Last column: magnetic moment on the atom in μB.
Atoms (fractional coordinates):
Ba 0.5000 0.2500 0.2500  0.00
Br 0.5000 0.7500 0.7500  0.04
Cl 0.0000 0.0696 0.0696  0.37
Cl 0.0000 0.4304 0.4304  0.37

(6)
The following is a DFT calculation (PBE) of Pm2HoBi after structural relaxation.

Calculated values
E, eV per atom: -4.876
E_form, eV/atom: -0.39
E above lowest polymorph, meV per atom: 8
M_tot, μB per cell: 0.000

Unit cell a=4.2957 b=4.2957 c=6.8312 alpha=90.00 beta=90.00 gamma=90.00
Atoms (fractional coordinates):
Pm 0.0000 0.0000 0.7617
Pm 0.0000 0.0000 0.2383
Bi 0.5000 0.5000 0.0000
Ho 0.5000 0.5000 0.5000

(7)
The following is a DFT calculation (PBE) of Ti6GaBi2 after structural relaxation.

Calculated values
E, eV per atom: -6.281
E_form, eV/atom: 0.18
M_tot, μB per cell: 0.001

Unit cell a=4.3135 b=6.8380 c=7.7342 alpha=116.24 beta=106.24 gamma=90.00
Atoms (fractional coordinates):
Ti 0.1609 0.3883 0.3225
Ti 0.8391 0.0659 0.6775
Ti 0.8391 0.6117 0.6775
Ti 0.5000 0.2148 0.0000
Ti 0.1609 0.9341 0.3225
Ti 0.5000 0.7852 0.0000
Ga 0.0000 0.0000 0.0000
Bi 0.6575 0.6579 0.3158
Bi 0.3425 0.3421 0.6842

(8)
The following is a DFT calculation (PBE) of OsRu2 after structural relaxation.

Calculated values
E, eV per atom: -9.819
E_form, eV/atom: 0.11
E above lowest polymorph, meV per atom: 118
M_tot, μB per cell: 0.000

Unit cell a=3.8328 b=3.8328 c=11.8156 alpha=99.46 beta=99.46 gamma=89.93
Atoms (fractional coordinates):
Ru 0.2506 0.2506 0.5010
Ru 0.7494 0.7494 0.4990
Ru 0.5006 0.0006 0.0010
Ru 0.9994 0.4994 0.9990
Ru 0.4167 0.4169 0.8335
Ru 0.5831 0.5833 0.1665
Ru 0.6669 0.1667 0.3335
Ru 0.8333 0.3331 0.6665
Os 0.0841 0.0837 0.1677
Os 0.9163 0.9159 0.8323
Os 0.3337 0.8341 0.6678
Os 0.1659 0.6663 0.3322

(9)
The following is a DFT calculation (PBE) of MoIrAu2 after structural relaxation.

Calculated values
E, eV per atom: -6.150
E_form, eV/atom: 0.41
E above lowest polymorph, meV per atom: 400
M_tot, μB per cell: 0.002

Unit cell a=2.8408 b=4.7612 c=4.9565 alpha=90.00 beta=90.00 gamma=90.00
Atoms (fractional coordinates):
Au 0.0000 0.0000 0.0000
Au 0.5000 0.5000 0.0000
Ir 0.5000 0.0000 0.5000
Mo 0.0000 0.5000 0.5000

(10)
The following is a DFT calculation (PBE) of LiSmYCo after structural relaxation.

Calculated values
E, eV per atom: -5.082
E_form, eV/atom: -0.03
M_tot, μB per cell: 0.000

Unit cell a=4.9252 b=4.9252 c=4.9252 alpha=60.00 beta=60.00 gamma=60.00
Atoms (fractional coordinates):
Y 0.7500 0.7500 0.7500
Co 0.5000 0.5000 0.5000
Sm 0.2500 0.2500 0.2500
Li 0.0000 0.0000 0.0000

(11)
The following is a DFT calculation (PBE) of CrRu2Pb after structural relaxation.

Calculated values
E, eV per atom: -7.305
E_form, eV/atom: 0.67
M_tot, μB per cell: 0.000

Unit cell a=7.0692 b=7.0692 c=5.7328 alpha=51.94 beta=51.94 gamma=90.00
Atoms (fractional coordinates):
Pb 0.0000 0.0000 0.0000
Pb 0.7500 0.2500 0.5000
Ru 0.5553 0.1250 0.2500
Ru 0.1947 0.6250 0.2500
Ru 0.3750 0.4447 0.7500
Ru 0.8750 0.8053 0.7500
Cr 0.5000 0.5000 0.0000
Cr 0.2500 0.7500 0.5000

(12)
The following is a DFT calculation (PBE) of Zr4AlRu after structural relaxation.

Calculated values
E, eV per atom: -7.493
E_form, eV/atom: 0.38
M_tot, μB per cell: 0.000

Unit cell a=5.5875 b=5.5875 c=5.5875 alpha=60.00 beta=60.00 gamma=60.00
Atoms (fractional coordinates):
Zr 0.8773 0.3742 0.3742
Zr 0.3742 0.3742 0.8773
Zr 0.3742 0.8773 0.3742
Zr 0.3742 0.3742 0.3742
Al 0.7500 0.7500 0.7500
Ru 0.0000 0.0000 0.0000

- What is the E in the first record?
  -2.820 eV per atom

- Which formula does entry 5 have?
  BaBrCl2

- M_tot of number 12 (Zr4AlRu)?
  0.000 μB per cell